# 1
Density functional theory data (PBE) for a relaxed structure of ZnNiSnSe3.

```
ZnNiSnSe3
1.0
9.3303 0.0000 0.0000
0.0000 7.1560 1.8742
0.0000 -7.1560 1.8742
Se Sn Zn Ni
6 2 2 2
Direct
0.9374 0.6392 0.3608
0.2500 0.0759 0.9241
0.4374 0.3608 0.6392
0.5626 0.6392 0.3608
0.7500 0.9241 0.0759
0.0626 0.3608 0.6392
0.2500 0.7617 0.2382
0.7500 0.2382 0.7617
0.0000 0.0000 0.0000
0.5000 0.0000 0.0000
0.7500 0.5257 0.4743
0.2500 0.4743 0.5257
```

Results
SG ... Cmcm
Uncorrected energy ... -3.767 eV/atom
Crystal system ... orthorhombic

***

# 2
Density functional theory data (PBE) for a relaxed structure of SrNi2Se3.

```
SrNi2Se3
1.0
6.5280 -1.9174 0.0000
6.5280 1.9174 0.0000
0.0000 0.0000 9.6725
Se Ni Sr
6 4 2
Direct
0.3725 0.3725 0.0381
0.0618 0.0618 0.2500
0.6275 0.6275 0.9619
0.6275 0.6275 0.5381
0.3725 0.3725 0.4619
0.9382 0.9382 0.7500
0.4622 0.4622 0.2500
0.5378 0.5378 0.7500
0.0000 0.0000 0.5000
0.0000 0.0000 0.0000
0.7560 0.7560 0.2500
0.2440 0.2440 0.7500
```

Results
SG ... Cmcm
Uncorrected energy ... -4.547 eV/atom
Crystal system ... orthorhombic

***

# 3
Density functional theory data (PBE) for a relaxed structure of Sr2TcNiSe6.

```
Sr2TcNiSe6
1.0
6.3266 0.0000 0.0000
0.0021 6.3267 0.0000
3.1408 3.0341 6.0813
Sr Se Ni Tc
2 6 1 1
Direct
0.7517 0.7523 0.0004
0.2483 0.2477 0.9996
0.8413 0.8624 0.5075
0.7782 0.2828 0.9370
0.3609 0.6488 0.5124
0.6391 0.3512 0.4876
0.1587 0.1376 0.4925
0.2218 0.7172 0.0630
0.5000 0.0000 0.5000
0.0000 0.5000 0.5000
```

Results
SG ... P-1
Uncorrected energy ... -4.858 eV/atom
Crystal system ... triclinic

***

# 4
Density functional theory data (PBE) for a relaxed structure of Sr2TcNiSe6.

```
Sr2TcNiSe6
1.0
0.2920 4.5076 -5.2227
-2.6044 -0.8175 -6.3427
-4.3907 1.0672 6.2807
Se Ni Sr Tc
6 1 2 1
Direct
0.7098 0.1806 0.6887
0.1806 0.7098 0.6887
0.2902 0.8194 0.3113
0.8194 0.2902 0.3113
0.7554 0.7554 0.8465
0.2446 0.2446 0.1535
0.0000 0.0000 0.0000
0.2535 0.2535 0.7674
0.7465 0.7465 0.2326
0.5000 0.5000 0.5000
```

Results
SG ... C2/m
Uncorrected energy ... -4.752 eV/atom
Crystal system ... monoclinic

***

# 5
Density functional theory data (PBE) for a relaxed structure of SrZnNiSe3.

```
SrZnNiSe3
1.0
10.2241 0.0000 0.0000
0.0000 6.4687 2.0020
0.0000 -6.4687 2.0020
Sr Zn Se Ni
2 2 6 2
Direct
0.7500 0.7540 0.2460
0.2500 0.2460 0.7540
0.5000 0.0000 0.0000
0.0000 0.0000 0.0000
0.2500 0.9350 0.0650
0.5564 0.3661 0.6339
0.4436 0.6339 0.3661
0.0564 0.6339 0.3661
0.7500 0.0650 0.9350
0.9436 0.3661 0.6339
0.2500 0.5313 0.4687
0.7500 0.4687 0.5313
```

Results
SG ... Cmcm
Uncorrected energy ... -3.924 eV/atom
Crystal system ... orthorhombic

***

# 6
Density functional theory data (PBE) for a relaxed structure of SrZnNiSe3.

```
SrZnNiSe3
1.0
6.7346 -1.9970 0.0000
6.7346 1.9970 0.0000
0.0000 0.0000 9.7395
Zn Se Ni Sr
2 6 2 2
Direct
0.5298 0.5298 0.7500
0.4702 0.4702 0.2500
0.6276 0.6276 0.9604
0.0731 0.0731 0.2500
0.3724 0.3724 0.0396
0.6276 0.6276 0.5396
0.3724 0.3724 0.4604
0.9269 0.9269 0.7500
0.0000 0.0000 0.5000
0.0000 0.0000 0.0000
0.7582 0.7582 0.2500
0.2418 0.2418 0.7500
```

Results
SG ... Cmcm
Uncorrected energy ... -3.937 eV/atom
Crystal system ... orthorhombic

***

# 7
Density functional theory data (PBE) for a relaxed structure of Ta2NiSe7.

```
Ta2NiSe7
1.0
2.1185 -1.0959 2.5795
4.0252 5.1618 -3.5053
-8.7119 12.0833 9.8963
Se Ta Ni
14 4 2
Direct
0.9571 0.2137 0.7006
0.2733 0.8418 0.7048
0.8951 0.3707 0.4196
0.9464 0.0317 0.8611
0.3493 0.7107 0.9879
0.0429 0.7863 0.2994
0.0536 0.9683 0.1389
0.6680 0.5096 0.8264
0.7267 0.1582 0.2952
0.6480 0.8514 0.4447
0.6507 0.2893 0.0121
0.3520 0.1486 0.5553
0.1049 0.6293 0.5804
0.3320 0.4904 0.1736
0.1381 0.3667 0.9095
0.2480 0.0964 0.3997
0.7520 0.9036 0.6003
0.8619 0.6333 0.0905
0.4804 0.1700 0.7907
0.5196 0.8300 0.2093
```

Results
SG ... C2/m
Uncorrected energy ... -5.972 eV/atom
Crystal system ... monoclinic

***

# 8
Density functional theory data (PBE) for a relaxed structure of Ta2Ni3Se8.

```
Ta2Ni3Se8
1.0
-12.1831 1.1174 8.5513
0.7672 -10.2575 2.4334
1.9981 0.8000 2.7422
Ni Se Ta
6 16 4
Direct
0.7219 0.1341 0.0000
0.2781 0.8659 0.0000
0.0000 0.0000 0.0000
0.7781 0.6341 0.0000
0.5000 0.5000 0.0000
0.2219 0.3659 0.0000
0.0094 0.7785 0.0000
0.4906 0.2785 0.0000
0.3439 0.5248 0.0000
0.1291 0.4442 0.5000
0.7131 0.7561 0.5000
0.9906 0.2215 0.0000
0.1561 0.0248 0.0000
0.5094 0.7215 0.0000
0.3709 0.9442 0.5000
0.7869 0.2561 0.5000
0.2869 0.2439 0.5000
0.6561 0.4752 0.0000
0.8709 0.5558 0.5000
0.8439 0.9751 0.0000
0.2131 0.7439 0.5000
0.6291 0.0558 0.5000
0.3808 0.7016 0.5000
0.8808 0.7984 0.5000
0.6192 0.2984 0.5000
0.1192 0.2016 0.5000
```

Results
SG ... Pbam
Uncorrected energy ... -5.848 eV/atom
Crystal system ... orthorhombic